[1]
Entry from Alexandria: a relaxed structure of Nb2ReTe (PBE).

a = 4.039 Å, b = 4.039 Å, c = 19.264 Å
α = 90.00°, β = 90.00°, γ = 90.00°
Space group I-42d (No. 122)
Symmetry-distinct sites (fractional):
Nb  0.245  0.250  0.125
Re  0.000  0.000  0.500
Te  0.000  0.000  0.000

---

[2]
Entry from Alexandria: a relaxed structure of Cs3SbOs (PBE).

a = 5.992 Å, b = 5.992 Å, c = 5.992 Å
α = 90.00°, β = 90.00°, γ = 90.00°
Space group Pm-3m (No. 221)
Symmetry-distinct sites (fractional):
Cs  0.000  0.000  0.500
Sb  0.500  0.500  0.500
Os  0.000  0.000  0.000

---

[3]
Entry from Alexandria: a relaxed structure of POsN2 (PBE).

a = 3.561 Å, b = 3.948 Å, c = 3.988 Å
α = 69.46°, β = 68.18°, γ = 75.33°
Space group P1 (No. 1)
Symmetry-distinct sites (fractional):
P  0.000  0.000  0.000
Os  0.549  0.584  0.128
N  0.077  0.318  0.549
N  0.704  0.542  0.615

---

[4]
Entry from Alexandria: a relaxed structure of Fe2GeCl (PBE).

a = 6.143 Å, b = 6.143 Å, c = 7.449 Å
α = 90.00°, β = 90.00°, γ = 90.00°
Space group I-42d (No. 122)
Symmetry-distinct sites (fractional):
Fe  0.239  0.750  0.125
Ge  0.000  0.000  0.500
Cl  0.000  0.000  0.000

---

Uncorrected formation energy in eV/atom, matching the order above: 0.6926 1.1084 0.6307 0.4486